(1)
This record from Alexandria describes ScIn4Fe after structural relaxation. The functional is PBE.

M_tot in μB/cell: 3.0
Formation energy from the elements in eV per atom: 0.3619
Electronic total energy in eV per atom: -3.929

Unit cell a=5.822 b=5.822 c=5.822 alpha=60.00 beta=60.00 gamma=60.00
Atoms (fractional coordinates):
Sc1 0.000 0.000 0.000
In1 0.375 0.375 0.375
In2 0.375 0.375 0.875
In3 0.375 0.875 0.375
In4 0.875 0.375 0.375
Fe1 0.750 0.750 0.750

***

(2)
This record from Alexandria describes Fe2SnPd7 after structural relaxation. The functional is PBE.

M_tot in μB/cell: 8.1
Formation energy from the elements in eV per atom: 0.2758
Electronic total energy in eV per atom: -5.452

Unit cell a=7.165 b=7.165 c=4.312 alpha=90.00 beta=90.00 gamma=118.98
Atoms (fractional coordinates):
Fe1 0.198 0.802 0.000
Fe2 0.802 0.198 0.000
Sn1 0.500 0.500 0.500
Pd1 0.000 0.000 0.000
Pd2 0.196 0.429 0.000
Pd3 0.285 0.715 0.500
Pd4 0.429 0.196 0.000
Pd5 0.571 0.804 0.000
Pd6 0.715 0.285 0.500
Pd7 0.804 0.571 0.000

***

(3)
This record from Alexandria describes RbTlAsP after structural relaxation. The functional is PBE.

M_tot in μB/cell: 0.0
Formation energy from the elements in eV per atom: -0.1955
Electronic total energy in eV per atom: -3.544

Unit cell a=5.280 b=3.658 c=6.792 alpha=90.00 beta=104.35 gamma=90.00
Atoms (fractional coordinates):
Rb1 0.000 0.000 0.000
Tl1 0.673 0.500 0.430
As1 0.223 0.000 0.555
P1 0.435 0.500 0.761